Density functional theory data (meta-GGA SCAN) for CaCoTc2O at its PBEsol-relaxed geometry.

extended XYZ file:
```
5
Lattice="3.961 0.000 0.000 0.000 3.961 0.000 0.000 0.000 4.442" Properties=species:S:1:pos:R:3 pbc="T T T"
Ca 0.000 0.000 0.000
Co 1.980 1.980 0.000
Tc 0.000 1.980 2.221
Tc 1.980 0.000 2.221
O 0.000 0.000 2.221
```

Properties
For the magnetization, the calculation gives 0.764 μB/atom. Its uncorrected formation energy is -0.46 eV/f.u. The calculated total energy is -20.76 eV per atom.

---

Density functional theory data (meta-GGA SCAN) for Ca3V3Co2O12 at its PBEsol-relaxed geometry.

extended XYZ file:
```
80
Lattice="-6.144 6.144 6.144 6.144 -6.144 6.144 6.144 6.144 -6.144" Properties=species:S:1:pos:R:3 pbc="T T T"
Ca 3.072 1.536 0.000
Ca 6.144 3.072 -1.536
Ca 1.536 0.000 3.072
Ca 7.680 0.000 3.072
Ca 0.000 3.072 1.536
Ca 3.072 -1.536 6.144
Ca 3.072 7.680 0.000
Ca 6.144 3.072 4.608
Ca -1.536 6.144 3.072
Ca 4.608 6.144 3.072
Ca 0.000 3.072 7.680
Ca 3.072 4.608 6.144
V 9.216 1.536 0.000
V 6.144 -3.072 4.608
V 4.608 6.144 -3.072
V 4.608 0.000 3.072
V 3.072 4.608 0.000
V 6.144 3.072 1.536
V 0.000 3.072 4.608
V 3.072 1.536 6.144
V 1.536 6.144 3.072
V 1.536 0.000 9.216
V 0.000 9.216 1.536
V -3.072 4.608 6.144
Co 0.000 0.000 0.000
Co 3.072 3.072 -3.072
Co 3.072 -3.072 3.072
Co 6.144 0.000 0.000
Co -3.072 3.072 3.072
Co 0.000 6.144 0.000
Co 0.000 0.000 6.144
Co 3.072 3.072 3.072
O 1.882 -0.443 0.638
O 7.334 3.710 -3.515
O 8.026 0.443 0.638
O 7.334 -2.434 3.515
O 5.701 -0.638 1.882
O 9.658 -1.190 2.434
O 0.638 1.882 -0.443
O 8.578 2.629 -1.190
O 3.710 3.515 -1.190
O 5.506 1.882 0.443
O -0.443 0.638 1.882
O 3.515 -1.190 3.710
O 5.701 5.506 -1.882
O 3.515 1.190 2.434
O 3.710 -3.515 7.334
O 5.506 -1.882 5.701
O 2.434 3.515 1.190
O 6.782 4.262 0.443
O 3.515 7.334 -2.434
O 5.701 0.638 4.262
O 1.882 5.701 -0.638
O 7.334 2.434 2.629
O 1.190 2.434 3.515
O 1.882 0.443 5.506
O 4.262 5.701 0.638
O 4.954 3.710 2.629
O -1.190 3.710 3.515
O 4.262 0.443 6.782
O 0.443 5.506 1.882
O 2.629 -1.190 8.578
O -0.638 1.882 5.701
O 3.710 2.629 4.954
O 0.638 8.026 0.443
O 2.434 9.658 -1.190
O 2.629 4.954 3.710
O 0.443 0.638 8.026
O 2.629 7.334 2.434
O 6.586 5.506 4.262
O 0.638 4.262 5.701
O 2.434 2.629 7.334
O -2.434 3.515 7.334
O 5.506 4.262 6.586
O -3.515 7.334 3.710
O 0.443 6.782 4.262
O -1.190 8.578 2.629
O -1.882 5.701 5.506
O -1.190 2.434 9.658
O 4.262 6.586 5.506
```

Properties
For the magnetization, the calculation gives 0.250 μB/atom. Its uncorrected formation energy is -53.65 eV/f.u. The calculated total energy is -12.22 eV per atom.

---

Density functional theory data (meta-GGA SCAN) for Ca2CoWO6 at its PBEsol-relaxed geometry.

extended XYZ file:
```
20
Lattice="5.324 0.000 0.000 0.000 5.460 0.000 -5.274 0.000 7.541" Properties=species:S:1:pos:R:3 pbc="T T T"
Ca -0.049 0.272 1.870
Ca -2.686 2.458 5.641
Ca 2.736 3.003 1.901
Ca 0.099 5.188 5.671
Co -2.637 0.000 3.771
Co 0.000 2.730 0.000
W 2.662 0.000 0.000
W 0.025 2.730 3.771
O -4.164 1.115 7.231
O -1.527 1.615 3.461
O -3.688 3.884 7.213
O -1.051 4.306 3.443
O -2.188 0.114 5.662
O 0.449 2.616 1.891
O -0.399 2.844 5.650
O 2.238 5.346 1.879
O 1.101 1.154 4.099
O 3.738 1.576 0.328
O 1.577 3.845 4.081
O 4.214 4.345 0.310
```

Properties
For the magnetization, the calculation gives 0.100 μB/atom. Its uncorrected formation energy is -25.76 eV/f.u. The calculated total energy is -16.95 eV per atom.

---

Density functional theory data (meta-GGA SCAN) for Ca2CoWO6 at its PBEsol-relaxed geometry.

extended XYZ file:
```
10
Lattice="2.710 1.564 4.328 -2.710 1.564 4.328 0.000 -3.129 4.328" Properties=species:S:1:pos:R:3 pbc="T T T"
Ca 0.000 0.000 0.000
Ca 0.000 0.000 6.422
Co 0.000 0.000 3.206
W 0.000 0.000 9.698
O -1.175 -1.996 6.455
O -1.534 0.430 8.611
O -1.141 2.015 6.455
O 0.394 -1.544 8.611
O 2.316 -0.019 6.455
O 1.140 1.113 8.611
```

Properties
For the magnetization, the calculation gives 0.100 μB/atom. Its uncorrected formation energy is -25.46 eV/f.u. The calculated total energy is -16.92 eV per atom.

---

Density functional theory data (meta-GGA SCAN) for CaCoOs at its PBEsol-relaxed geometry.

extended XYZ file:
```
3
Lattice="0.000 2.980 2.980 2.980 0.000 2.980 2.980 2.980 0.000" Properties=species:S:1:pos:R:3 pbc="T T T"
Ca 0.000 0.000 0.000
Co 1.490 1.490 1.490
Os 2.980 2.980 2.980
```

Properties
For the magnetization, the calculation gives 0.892 μB/atom. Its formation energy is 0.911 eV per atom. The calculated total energy is -32.04 eV per atom.

---

Density functional theory data (meta-GGA SCAN) for Ca2Co12P7 at its PBEsol-relaxed geometry.

extended XYZ file:
```
21
Lattice="8.917 0.000 0.000 -4.459 7.723 0.000 0.000 0.000 3.504" Properties=species:S:1:pos:R:3 pbc="T T T"
Ca 0.000 0.000 0.000
Ca 0.000 5.148 1.752
Co -3.038 5.932 1.752
Co -0.817 2.979 0.000
Co 0.840 2.126 1.752
Co -1.470 6.941 0.000
Co 2.817 1.768 0.000
Co 4.315 0.473 1.752
Co 2.711 3.749 1.752
Co 2.287 5.526 0.000
Co 2.198 7.388 1.752
Co 5.978 1.556 0.000
Co 4.581 4.399 0.000
Co 6.350 3.501 1.752
P -2.177 4.828 0.000
P 2.153 0.325 1.752
P 1.366 3.423 0.000
P 0.811 7.194 0.000
P 4.459 2.574 1.752
P 3.664 5.696 1.752
P 7.560 1.702 1.752
```

Properties
For the magnetization, the calculation gives 0.214 μB/atom. Its formation energy is -0.624 eV per atom. The calculated total energy is -14.90 eV per atom.

---

Density functional theory data (meta-GGA SCAN) for CaCoPb2 at its PBEsol-relaxed geometry.

extended XYZ file:
```
4
Lattice="3.376 0.000 0.000 0.000 3.376 0.000 0.000 0.000 7.608" Properties=species:S:1:pos:R:3 pbc="T T T"
Ca 0.000 0.000 0.000
Co 0.000 0.000 3.804
Pb 1.688 1.688 2.276
Pb 1.688 1.688 5.332
```

Properties
For the magnetization, the calculation gives 0.354 μB/atom. Its formation energy is 0.076 eV per atom. The calculated total energy is -44.56 eV per atom.

---

Density functional theory data (meta-GGA SCAN) for CaCo2Pb at its PBEsol-relaxed geometry.

extended XYZ file:
```
4
Lattice="4.363 0.000 0.000 0.000 4.363 0.000 0.000 0.000 3.421" Properties=species:S:1:pos:R:3 pbc="T T T"
Ca 0.000 0.000 0.000
Co 0.000 2.181 1.711
Co 2.181 0.000 1.711
Pb 2.181 2.181 0.000
```

Properties
For the magnetization, the calculation gives 0.001 μB/atom. Its formation energy is 0.509 eV per atom. The calculated total energy is -29.50 eV per atom.

---

Density functional theory data (meta-GGA SCAN) for CaCoPb2 at its PBEsol-relaxed geometry.

extended XYZ file:
```
4
Lattice="0.000 3.600 3.600 3.600 0.000 3.600 3.600 3.600 0.000" Properties=species:S:1:pos:R:3 pbc="T T T"
Ca 0.000 0.000 0.000
Co 5.399 5.399 5.399
Pb 1.800 1.800 1.800
Pb 3.600 3.600 3.600
```

Properties
For the magnetization, the calculation gives 0.464 μB/atom. Its formation energy is 0.117 eV per atom. The calculated total energy is -44.52 eV per atom.

---

Density functional theory data (meta-GGA SCAN) for CaCo2Pb at its PBEsol-relaxed geometry.

extended XYZ file:
```
4
Lattice="3.167 0.000 0.000 0.000 3.167 0.000 0.000 0.000 7.306" Properties=species:S:1:pos:R:3 pbc="T T T"
Ca 0.000 0.000 0.000
Co 0.000 0.000 2.903
Co 1.584 1.584 1.990
Pb 1.584 1.584 4.700
```

Properties
For the magnetization, the calculation gives 0.809 μB/atom. Its formation energy is 0.200 eV per atom. The calculated total energy is -29.81 eV per atom.

---

Density functional theory data (meta-GGA SCAN) for CaCo2Pd at its PBEsol-relaxed geometry.

extended XYZ file:
```
4
Lattice="0.000 3.087 3.087 3.087 0.000 3.087 3.087 3.087 0.000" Properties=species:S:1:pos:R:3 pbc="T T T"
Ca 0.000 0.000 0.000
Co 1.544 1.544 1.544
Co 4.631 4.631 4.631
Pd 3.087 3.087 3.087
```

Properties
For the magnetization, the calculation gives 0.893 μB/atom. Its formation energy is 0.296 eV per atom. The calculated total energy is -18.97 eV per atom.

---

Density functional theory data (meta-GGA SCAN) for CaCoPd3 at its PBEsol-relaxed geometry.

extended XYZ file:
```
5
Lattice="4.571 0.000 0.000 0.000 4.571 0.000 0.000 0.000 4.571" Properties=species:S:1:pos:R:3 pbc="T T T"
Ca 0.000 0.000 0.000
Co 2.286 2.286 2.286
Pd 0.000 2.286 2.286
Pd 2.286 0.000 2.286
Pd 2.286 2.286 0.000
```

Properties
For the magnetization, the calculation gives 0.570 μB/atom. Its formation energy is 0.038 eV per atom. The calculated total energy is -25.02 eV per atom.